# BPC

BPC after structural relaxation (GGA-PBE, Alexandria via LeMat-Bulk).

Cell: 2.964 4.421 4.581 Å, 87.53 88.68 89.88°
Element x y z (fractional)
C  0.774  0.050  0.376
B  0.735  0.067  0.996
B  0.230  0.278  0.929
P  0.753  0.783  0.694
C  0.255  0.537  0.669
P  0.271  0.294  0.348

Values from the calculation:
calculated volume: 10.0 A^3/atom
crystal system: triclinic
energy of formation from the pure elements: 0.30 eV/atom
energy relative to the lowest polymorph listed for this composition: 60.9 meV per atom
density: 2.98 Mg/m³

=====

# KPRu2

KPRu2 after structural relaxation (GGA-PBE, Alexandria via LeMat-Bulk).

Cell: 8.902 8.902 8.902 Å, 19.88 19.88 19.88°
Element x y z (fractional)
Ru  0.026  0.026  0.026
Ru  0.474  0.474  0.474
P  0.750  0.750  0.750
K  0.250  0.250  0.250

Values from the calculation:
calculated volume: 17.8 A^3/atom
crystal system: trigonal
energy of formation from the pure elements: 0.28 eV/atom
density: 6.34 Mg/m³

=====

# Th3Ru2

Th3Ru2 after structural relaxation (GGA-PBE, Alexandria via LeMat-Bulk).

Cell: 3.963 11.151 11.543 Å, 90.00 90.00 90.00°
Element x y z (fractional)
Th  0.750  0.135  0.939
Ru  0.750  0.007  0.176
Th  0.250  0.564  0.880
Ru  0.750  0.819  0.509
Th  0.750  0.687  0.284
Th  0.750  0.436  0.120
Th  0.750  0.813  0.784
Ru  0.250  0.993  0.824
Th  0.250  0.313  0.716
Th  0.250  0.865  0.061
Th  0.250  0.635  0.561
Th  0.250  0.936  0.380
Th  0.750  0.064  0.620
Ru  0.750  0.681  0.009
Ru  0.250  0.507  0.324
Th  0.250  0.187  0.216
Th  0.750  0.365  0.439
Ru  0.750  0.493  0.676
Ru  0.250  0.181  0.491
Ru  0.250  0.319  0.991

Values from the calculation:
calculated volume: 25.5 A^3/atom
crystal system: orthorhombic
energy of formation from the pure elements: -0.44 eV/atom
energy relative to the lowest polymorph listed for this composition: 0.0 meV per atom
density: 11.70 Mg/m³

=====

# Ac2TlF

Ac2TlF after structural relaxation (GGA-PBE, Alexandria via LeMat-Bulk).

Cell: 4.122 4.122 8.613 Å, 76.16 76.16 60.00°
Element x y z (fractional)
F  0.000  0.000  0.000
Ac  0.269  0.269  0.192
Tl  0.500  0.500  0.500
Ac  0.731  0.731  0.808

Values from the calculation:
calculated volume: 30.5 A^3/atom
crystal system: trigonal
energy relative to the lowest polymorph listed for this composition: 0.0 meV per atom
ΔE_f (raw): -1.31 eV/atom
density: 9.23 Mg/m³

=====

# Pr6Zn2N

Pr6Zn2N after structural relaxation (GGA-PBE, Alexandria via LeMat-Bulk).

Cell: 6.731 7.294 10.377 Å, 90.00 90.26 90.00°
Element x y z (fractional)
Zn  0.556  0.920  0.751
Pr  0.193  0.311  0.046
N  0.000  0.000  0.500
Pr  0.183  0.294  0.455
Pr  0.317  0.794  0.045
N  0.500  0.500  0.000
Pr  0.807  0.689  0.954
Pr  0.817  0.706  0.545
Pr  0.389  0.521  0.762
Pr  0.307  0.811  0.454
Pr  0.111  0.021  0.738
Zn  0.056  0.580  0.251
Zn  0.944  0.420  0.749
Pr  0.683  0.206  0.955
Zn  0.444  0.080  0.249
Pr  0.693  0.189  0.546
Pr  0.889  0.979  0.262
Pr  0.611  0.479  0.238

Values from the calculation:
calculated volume: 28.3 A^3/atom
crystal system: monoclinic
ΔE_f (raw): -0.38 eV/atom
density: 6.46 Mg/m³

=====

# CdRh2

CdRh2 after structural relaxation (GGA-PBE, Alexandria via LeMat-Bulk).

Cell: 6.253 6.253 6.253 Å, 90.00 90.00 90.00°
Each line ends with the local moment (μB).
Element x y z (fractional)
Cd  0.500  0.500  0.000  0.00
Cd  0.500  0.000  0.500  0.00
Rh  0.111  0.611  0.889  0.87
Rh  0.611  0.889  0.111  0.87
Rh  0.111  0.889  0.389  0.87
Rh  0.389  0.111  0.889  0.87
Rh  0.389  0.389  0.389  0.87
Rh  0.889  0.111  0.611  0.87
Rh  0.889  0.389  0.111  0.87
Rh  0.611  0.611  0.611  0.87
Cd  0.000  0.000  0.000  0.00
Cd  0.000  0.500  0.500  0.00

Values from the calculation:
calculated volume: 20.4 A^3/atom
crystal system: cubic
energy of formation from the pure elements: 0.95 eV/atom
density: 8.64 Mg/m³

=====

# AgHg2Ru

AgHg2Ru after structural relaxation (GGA-PBE, Alexandria via LeMat-Bulk).

Cell: 2.992 4.262 5.916 Å, 90.00 90.00 90.00°
Each line ends with the local moment (μB).
Element x y z (fractional)
Hg  0.500  0.500  0.280  -0.01
Hg  0.000  0.000  0.982  -0.01
Ru  0.000  0.000  0.491  1.02
Ag  0.500  0.500  0.747  0.01

Values from the calculation:
calculated volume: 18.9 A^3/atom
crystal system: orthorhombic
energy of formation from the pure elements: 0.47 eV/atom
energy relative to the lowest polymorph listed for this composition: 85.6 meV per atom
density: 13.43 Mg/m³

=====

# Hg2BiCl

Hg2BiCl after structural relaxation (GGA-PBE, Alexandria via LeMat-Bulk).

Cell: 4.350 4.350 7.850 Å, 73.91 73.91 60.00°
Element x y z (fractional)
Hg  0.257  0.257  0.230
Bi  0.668  0.668  0.995
Hg  0.080  0.080  0.760
Cl  0.495  0.495  0.515

Values from the calculation:
calculated volume: 30.5 A^3/atom
crystal system: trigonal
energy relative to the lowest polymorph listed for this composition: 99.2 meV per atom
ΔE_f (raw): -0.06 eV/atom
density: 8.80 Mg/m³

=====

# Li4In15Pb

Li4In15Pb after structural relaxation (GGA-PBE, Alexandria via LeMat-Bulk).

Cell: 4.560 4.560 23.709 Å, 90.00 90.00 90.00°
Element x y z (fractional)
Li  0.000  0.000  0.215
In  0.500  0.000  0.308
In  0.000  0.500  0.692
In  0.500  0.500  0.000
In  0.500  0.500  0.788
In  0.000  0.500  0.308
In  0.000  0.500  0.500
In  0.500  0.000  0.116
In  0.500  0.000  0.500
Pb  0.000  0.000  0.000
In  0.500  0.500  0.212
In  0.500  0.000  0.884
In  0.500  0.500  0.404
In  0.000  0.500  0.116
In  0.500  0.000  0.692
Li  0.000  0.000  0.403
In  0.500  0.500  0.596
In  0.000  0.500  0.884
Li  0.000  0.000  0.597
Li  0.000  0.000  0.785

Values from the calculation:
calculated volume: 24.6 A^3/atom
crystal system: tetragonal
energy of formation from the pure elements: -0.10 eV/atom
density: 6.59 Mg/m³

=====

# GdYGe4

GdYGe4 after structural relaxation (GGA-PBE, Alexandria via LeMat-Bulk).

Cell: 5.650 5.650 5.650 Å, 60.00 60.00 60.00°
Each line ends with the local moment (μB).
Element x y z (fractional)
Ge  0.625  0.625  0.625  0.01
Ge  0.126  0.625  0.625  0.01
Ge  0.625  0.126  0.625  0.01
Gd  0.000  0.000  0.000  7.21
Y  0.250  0.250  0.250  0.26
Ge  0.625  0.625  0.126  0.01

Values from the calculation:
calculated volume: 21.3 A^3/atom
crystal system: cubic
energy of formation from the pure elements: -0.34 eV/atom
density: 6.99 Mg/m³

=====

# CaMnP2

CaMnP2 after structural relaxation (GGA-PBE, Alexandria via LeMat-Bulk).

Cell: 3.018 3.017 6.715 Å, 90.00 90.00 90.00°
Each line ends with the local moment (μB).
Element x y z (fractional)
P  0.000  0.000  0.939  -0.05
P  0.000  0.000  0.561  -0.05
Ca  0.500  0.500  0.250  -0.01
Mn  0.500  0.500  0.750  1.35

Values from the calculation:
calculated volume: 15.3 A^3/atom
crystal system: tetragonal
energy of formation from the pure elements: -0.36 eV/atom
energy relative to the lowest polymorph listed for this composition: 391.8 meV per atom
density: 4.26 Mg/m³

=====

# CsTlPd3

CsTlPd3 after structural relaxation (GGA-PBE, Alexandria via LeMat-Bulk).

Cell: 5.359 5.359 5.359 Å, 90.00 90.00 90.00°
Element x y z (fractional)
Cs  0.000  0.000  0.000
Pd  0.000  0.000  0.500
Tl  0.500  0.500  0.500
Pd  0.000  0.500  0.000
Pd  0.500  0.000  0.000

Values from the calculation:
calculated volume: 30.8 A^3/atom
crystal system: cubic
energy of formation from the pure elements: 1.10 eV/atom
energy relative to the lowest polymorph listed for this composition: 715.4 meV per atom
density: 7.08 Mg/m³

=====

| no. | uncorrected energy (eV for the cell shown) |
| --- | --- |
| 1 | -40.83 |
| 2 | -23.92 |
| 3 | -172.02 |
| 4 | -17.69 |
| 5 | -85.88 |
| 6 | -51.08 |
| 7 | -10.85 |
| 8 | -6.59 |
| 9 | -54.37 |
| 10 | -41.08 |
| 11 | -23.45 |
| 12 | -13.28 |